VASP calculation (GGA-PBE) on crystalline Pr4GaIr2 at its relaxed geometry.

Values from the calculation:
As for the volume: 194.3 Å³ per cell. The value obtained for the size of the total moment is 0.0 μB/cell. The value obtained for the formation enthalpy at 0 K is -0.531 eV per atom.

a = 4.8896 Å, b = 4.8896 Å, c = 9.7995 Å
α = 75.55°, β = 75.55°, γ = 60.00°
With the nearest neighbours (Å) after each atom.
Atoms (fractional coordinates):
Pr: 0.7952 0.7952 0.6145  4 Ir 3.00-3.15
Pr: 0.3826 0.3826 0.8523  3 Ir 3.08, 3 Ga 3.14
Pr: 0.2048 0.2048 0.3855  4 Ir 3.00-3.15
Pr: 0.6174 0.6174 0.1477  3 Ir 3.08, 3 Ga 3.14
Ir: 0.9072 0.9072 0.2784  1 Ga 2.61
Ir: 0.0928 0.0928 0.7216  1 Ga 2.61
Ga: 0.0000 0.0000 0.0000  2 Ir 2.61